The following is a DFT calculation (GGA-PBE) of a relaxed Rb6Au4O crystal.

a b c (Å): 9.0116 9.0116 10.3217
angles (deg): 90.00 90.00 90.00
Last column: nearest neighbours and their distance in Å.
Space group P4/mnc (No. 128)
One atom of each set of equivalent atoms:
Rb: 0.0000 0.0000 0.2461 x4  1 O 2.62
Rb: 0.1354 0.2822 0.5000 x8  1 O 2.82
Au: 0.1147 0.6147 0.2500 x8  1 Au 2.92
O: 0.0000 0.0000 0.5000 x2  6 Rb 2.62-2.82

Results
- uncorrected formation energy (eV/atom) = -0.48
- uncorrected energy (Ha/atom) = -0.0975
- total moment (μB per formula unit) = 0.1

---

The following is a DFT calculation (GGA-PBE) of a relaxed Rb8AuO2 crystal.

a b c (Å): 17.9461 12.9280 5.6536
angles (deg): 90.00 107.81 90.00
Last column: nearest neighbours and their distance in Å.
Space group C2/m (No. 12)
One atom of each set of equivalent atoms:
Rb: 0.1196 0.1578 0.1441 x8  1 O 2.61
Rb: 0.1341 0.5000 0.6211 x4  1 O 2.59
Rb: 0.2132 0.0000 0.7334 x4  2 O 2.82-2.83
Au: 0.0000 0.0000 0.5000 x2  6 Rb 3.65-3.93
O: 0.2145 0.0000 0.2342 x4  5 Rb 2.59-2.83

Results
- uncorrected formation energy (eV/atom) = -0.53
- uncorrected energy (Ha/atom) = -0.0893
- energy relative to the lowest polymorph listed for this composition (meV per atom) = 9
- total moment (μB per formula unit) = 0.0

---

The following is a DFT calculation (GGA-PBE) of a relaxed Rb8Au2O3 crystal.

a b c (Å): 16.7042 8.6697 7.3409
angles (deg): 90.00 109.11 90.00
Last column: nearest neighbours and their distance in Å.
Space group C2/m (No. 12)
One atom of each set of equivalent atoms:
Rb: 0.0894 0.0000 0.3980 x4  3 O 2.81-2.93
Rb: 0.0939 0.2152 0.8828 x8  2 O 2.75-2.76
Rb: 0.1041 0.5000 0.4824 x4  2 O 2.75
Au: 0.2264 0.5000 0.1663 x4  6 Rb 3.51-3.65
O: 0.0000 0.0000 0.0000 x2  6 Rb 2.75-2.81
O: 0.0000 0.2590 0.5000 x4  6 Rb 2.75-2.93

Results
- uncorrected formation energy (eV/atom) = -0.75
- uncorrected energy (Ha/atom) = -0.1100
- total moment (μB per formula unit) = 0.3

---

The following is a DFT calculation (GGA-PBE) of a relaxed Rb7Au2O2 crystal.

a b c (Å): 9.3791 14.6616 8.2312
angles (deg): 90.00 100.54 90.00
Last column: nearest neighbours and their distance in Å.
Space group C2/m (No. 12)
One atom of each set of equivalent atoms:
Rb: 0.0000 0.0000 0.0000 x2  2 O 2.81
Rb: 0.0632 0.5000 0.8076 x4  2 O 2.69-2.98
Rb: 0.2268 0.1544 0.7306 x8  1 O 2.61
Au: 0.0000 0.3182 0.5000 x4  6 Rb 3.48-3.65
O: 0.2331 0.5000 0.1092 x4  4 Rb 2.61-2.81

Results
- uncorrected formation energy (eV/atom) = -0.58
- uncorrected energy (Ha/atom) = -0.0990
- energy relative to the lowest polymorph listed for this composition (meV per atom) = 13
- total moment (μB per formula unit) = 0.0

---

Which of these has the highest total moment? Rb8Au2O3